(1)
This record from Alexandria describes a relaxed structure of SmScSn. The functional is PBE.

a b c (Å): 4.9231 4.9231 3.9698
angles (deg): 90.00 90.00 120.00
Space group P3m1 (No. 156)
Asymmetric unit:
Sm 0.0000 0.0000 0.0000 [1 per cell]
Sc 0.6667 0.3333 0.4989 [1 per cell]
Sn 0.3333 0.6667 0.5028 [1 per cell]

Results
Calculated volume: 83 Å³ per cell

***

(2)
This record from Alexandria describes a relaxed structure of SmScSn. The functional is PBE.

a b c (Å): 3.826 3.826 11.003
angles (deg): 90.00 90.00 90.00
Space group I4mm (No. 107)
Asymmetric unit:
Sm 0.000 0.000 0.000 [2 per cell]
Sc 0.000 0.000 0.690 [2 per cell]
Sn 0.000 0.000 0.322 [2 per cell]

Results
Calculated volume: 161 Å³ per cell

***

(1) ends up most stable, edging out the next structure by 39 meV per atom.

***

(1)
This record from Alexandria describes a relaxed structure of SrSmSc. The functional is PBE.

a b c (Å): 4.093 4.093 14.035
angles (deg): 90.00 90.00 90.00
Space group P4/nmm (No. 129, origin choice 2)
Asymmetric unit:
Sr 0.250 0.250 0.112 [2 per cell]
Sm 0.250 0.250 0.695 [2 per cell]
Sc 0.250 0.750 0.500 [2 per cell]

Results
Calculated volume: 235 Å³ per cell

***

(2)
This record from Alexandria describes a relaxed structure of SrSmSc. The functional is PBE.

a b c (Å): 3.732 3.732 15.208
angles (deg): 90.00 90.00 90.00
Space group I4mm (No. 107)
Asymmetric unit:
Sr 0.000 0.000 0.000 [2 per cell]
Sm 0.000 0.000 0.308 [2 per cell]
Sc 0.000 0.000 0.674 [2 per cell]

Results
Calculated volume: 212 Å³ per cell

***

(2) ends up most stable, edging out the next structure by 173 meV per atom.